# InRe3Ge GGA-PBE optimized geometry
# Total magnetization: 0.87 μB per formula unit
# Energy above the most stable polymorph in this dataset: 0.00 eV per formula unit
# Total DFT energy (no corrections): -7.321 eV per atom
# ΔE_f: 1.619 eV/atom
data_InRe3Ge
_chemical_formula_sum 'In1 Re3 Ge1'
_symmetry_space_group_name_H-M 'P m -3 m'
_symmetry_Int_Tables_number 221
_symmetry_space_group_name_Hall '-P 4 2 3'
_cell_length_a 4.5803
_cell_length_b 4.5803
_cell_length_c 4.5803
_cell_angle_alpha 90.00
_cell_angle_beta 90.00
_cell_angle_gamma 90.00
loop_
_atom_site_label
_atom_site_type_symbol
_atom_site_fract_x
_atom_site_fract_y
_atom_site_fract_z
In1 In 0.0000 0.0000 0.0000
Re1 Re 0.0000 0.5000 0.5000
Ge1 Ge 0.5000 0.5000 0.5000